A plane-wave DFT calculation with PBE was carried out for a relaxed Tb2Sc3Si4 crystal.

Summary:
**Space group**: P2_1/c (14)
**Calculated volume**: 368 Å³/cell

a = 7.0893 Å, b = 7.3841 Å, c = 7.4020 Å
α = 90.00°, β = 90.00°, γ = 108.14°
With the nearest neighbours (Å) after each atom.
Fractional positions:
Si1 0.3727 0.4940 0.3789  1 Si 2.53, 4 Sc 2.75-2.83
Si2 0.6273 0.5060 0.6211  1 Si 2.53, 4 Sc 2.75-2.83
Si3 0.1329 0.9225 0.4642  1 Si 2.55, 3 Sc 2.72-2.82
Si4 0.8727 0.4940 0.1211  1 Si 2.53, 4 Sc 2.75-2.83
Si5 0.1273 0.5060 0.8789  1 Si 2.53, 4 Sc 2.75-2.83
Si6 0.6329 0.9225 0.0358  1 Si 2.55, 3 Sc 2.72-2.82
Si7 0.8671 0.0775 0.5358  1 Si 2.55, 3 Sc 2.72-2.82
Si8 0.3671 0.0775 0.9642  1 Si 2.55, 3 Sc 2.72-2.82
Tb1 0.0736 0.1945 0.1740  6 Si 2.93-3.11
Tb2 0.4264 0.8055 0.6740  6 Si 2.93-3.11
Tb3 0.9264 0.8055 0.8260  6 Si 2.93-3.11
Tb4 0.5736 0.1945 0.3260  6 Si 2.93-3.11
Sc1 0.5000 0.5000 0.0000  6 Si 2.80-2.98
Sc2 0.7508 0.7509 0.3206  6 Si 2.72-2.83
Sc3 0.2508 0.7509 0.1794  6 Si 2.72-2.83
Sc4 0.0000 0.5000 0.5000  6 Si 2.80-2.98
Sc5 0.2492 0.2491 0.6794  6 Si 2.72-2.83
Sc6 0.7492 0.2491 0.8206  6 Si 2.72-2.83


A plane-wave DFT calculation with PBE was carried out for a relaxed TbSc2Si crystal.

Summary:
**E above lowest polymorph**: 0.000 eV per atom
**Space group**: P4/mmm (123)
**Calculated volume**: 87 Å³/cell

a = 4.4423 Å, b = 4.4177 Å, c = 4.4177 Å
α = 90.00°, β = 90.00°, γ = 90.00°
With the nearest neighbours (Å) after each atom.
Fractional positions:
Sc1 0.0000 0.5000 0.0000  4 Sc 3.12, 4 Tb 3.13, 4 Si 3.13
Sc2 0.0000 0.0000 0.5000  4 Sc 3.12, 4 Tb 3.13, 4 Si 3.13
Si1 0.5000 0.5000 0.5000  4 Tb 3.12, 8 Sc 3.13
Tb1 0.5000 0.0000 0.0000  4 Si 3.12, 8 Sc 3.13


A plane-wave DFT calculation with PBE was carried out for a relaxed TbSc2Si crystal.

Summary:
**E above lowest polymorph**: 0.307 eV per atom
**Space group**: R-3m (166)
**Calculated volume**: 99 Å³/cell

a = 3.3271 Å, b = 3.3271 Å, c = 10.5005 Å
α = 80.88°, β = 80.88°, γ = 60.00°
With the nearest neighbours (Å) after each atom.
Fractional positions:
Si1 0.5000 0.5000 0.5000  6 Sc 2.70
Tb1 0.0000 0.0000 0.0000  2 Sc 3.27, 6 Tb 3.33
Sc1 0.8945 0.8945 0.3164  3 Si 2.70
Sc2 0.1055 0.1055 0.6836  3 Si 2.70


A plane-wave DFT calculation with PBE was carried out for a relaxed Tb3ScSi2 crystal.

Summary:
**Space group**: Immm (71)
**Calculated volume**: 145 Å³/cell

a = 4.2271 Å, b = 4.3576 Å, c = 8.4184 Å
α = 104.98°, β = 104.52°, γ = 89.99°
With the nearest neighbours (Å) after each atom.
Fractional positions:
Tb1 0.8205 0.3206 0.6408  5 Si 2.97-3.13
Tb2 0.5000 0.5000 0.0000  4 Si 3.00, 4 Sc 3.04
Tb3 0.1795 0.6794 0.3592  5 Si 2.97-3.13
Sc1 0.0000 0.0000 0.0000  4 Si 2.96, 4 Tb 3.04
Si1 0.6313 0.1315 0.2633  2 Sc 2.96, 7 Tb 2.97-3.13
Si2 0.3687 0.8685 0.7367  2 Sc 2.96, 7 Tb 2.97-3.13


A plane-wave DFT calculation with PBE was carried out for a relaxed TbSc2Si2 crystal.

Summary:
**Space group**: Cmc2_1 (36)
**Calculated volume**: 217 Å³/cell

a = 4.2095 Å, b = 6.5801 Å, c = 8.2837 Å
α = 90.00°, β = 90.00°, γ = 108.65°
With the nearest neighbours (Å) after each atom.
Fractional positions:
Sc1 0.6874 0.3749 0.4648  5 Si 2.70-2.76
Sc2 0.8747 0.7494 0.7079  4 Si 2.66-2.80
Sc3 0.3126 0.6251 0.9648  5 Si 2.70-2.76
Sc4 0.1253 0.2506 0.2079  4 Si 2.66-2.80
Tb1 0.4135 0.8270 0.3523  5 Si 3.07-3.30
Tb2 0.5865 0.1730 0.8523  5 Si 3.07-3.30
Si1 0.9496 0.8993 0.0260  1 Si 2.60, 4 Sc 2.66-2.80
Si2 0.2408 0.4815 0.6535  1 Si 2.60, 5 Sc 2.70-2.73
Si3 0.7592 0.5185 0.1535  1 Si 2.60, 5 Sc 2.70-2.73
Si4 0.0504 0.1007 0.5260  1 Si 2.60, 4 Sc 2.66-2.80


A plane-wave DFT calculation with PBE was carried out for a relaxed TbScSi2 crystal.

Summary:
**Space group**: Amm2 (38)
**Calculated volume**: 81 Å³/cell

a = 5.5402 Å, b = 5.5402 Å, c = 3.7810 Å
α = 90.00°, β = 90.00°, γ = 136.04°
With the nearest neighbours (Å) after each atom.
Fractional positions:
Si1 0.5757 0.4243 0.0000  2 Si 2.47
Si2 0.4208 0.5792 0.5000  2 Si 2.47
Tb1 0.1411 0.8589 0.5000  7 Si 2.87-3.07
Sc1 0.8624 0.1376 0.0000  7 Si 2.87-3.02


A plane-wave DFT calculation with PBE was carried out for a relaxed Tb2ScSi crystal.

Summary:
**Space group**: R-3m (166)
**Calculated volume**: 110 Å³/cell

a = 3.4744 Å, b = 3.4744 Å, c = 10.7029 Å
α = 80.66°, β = 80.66°, γ = 60.00°
With the nearest neighbours (Å) after each atom.
Fractional positions:
Tb1 0.8981 0.8981 0.3057  3 Si 2.86
Tb2 0.1019 0.1019 0.6943  3 Si 2.86
Si1 0.5000 0.5000 0.5000  6 Tb 2.86
Sc1 0.0000 0.0000 0.0000  2 Tb 3.21, 6 Sc 3.47


A plane-wave DFT calculation with PBE was carried out for a relaxed TbScSi4 crystal.

Summary:
**Space group**: Pbam (55)
**Calculated volume**: 452 Å³/cell

a = 3.8601 Å, b = 8.1477 Å, c = 14.3845 Å
α = 90.00°, β = 90.00°, γ = 90.00°
With the nearest neighbours (Å) after each atom.
Fractional positions:
Si1 0.5000 0.8803 0.4426  3 Si 2.41-2.55
Si2 0.5000 0.0232 0.2957  3 Si 2.28-2.41
Si3 0.5000 0.1197 0.5574  3 Si 2.41-2.55
Si4 0.5000 0.8710 0.0344  3 Si 2.32-2.44
Si5 0.5000 0.4768 0.7957  3 Si 2.28-2.41
Si6 0.5000 0.9768 0.7043  3 Si 2.28-2.41
Si7 0.5000 0.3803 0.0574  3 Si 2.41-2.55
Si8 0.5000 0.1290 0.9656  3 Si 2.32-2.44
Si9 0.5000 0.6921 0.6947  3 Si 2.28-2.36
Si10 0.5000 0.5232 0.2043  3 Si 2.28-2.41
Si11 0.5000 0.3710 0.4656  3 Si 2.32-2.44
Si12 0.5000 0.1921 0.8053  3 Si 2.28-2.36
Si13 0.5000 0.8079 0.1947  3 Si 2.28-2.36
Si14 0.5000 0.6197 0.9426  3 Si 2.41-2.55
Si15 0.5000 0.3079 0.3053  3 Si 2.28-2.36
Si16 0.5000 0.6290 0.5344  3 Si 2.32-2.44
Sc1 0.0000 0.6411 0.0866  10 Si 2.74-2.90
Sc2 0.0000 0.8589 0.5866  10 Si 2.74-2.90
Sc3 0.0000 0.1411 0.4134  10 Si 2.74-2.90
Sc4 0.0000 0.3589 0.9134  10 Si 2.74-2.90
Tb1 0.0000 0.1128 0.1366  10 Si 3.08-3.26
Tb2 0.0000 0.3872 0.6366  10 Si 3.08-3.26
Tb3 0.0000 0.8872 0.8634  10 Si 3.08-3.26
Tb4 0.0000 0.6128 0.3634  10 Si 3.08-3.26


A plane-wave DFT calculation with PBE was carried out for a relaxed TbSc4Si4 crystal.

Summary:
**Space group**: P4_2/n (86)
**Calculated volume**: 411 Å³/cell

a = 5.3569 Å, b = 8.7543 Å, c = 8.7543 Å
α = 90.00°, β = 90.00°, γ = 90.00°
With the nearest neighbours (Å) after each atom.
Fractional positions:
Si1 0.3896 0.6558 0.7989  1 Si 2.39
Si2 0.6104 0.2011 0.6558  1 Si 2.39
Si3 0.8896 0.7011 0.1558  1 Si 2.39
Si4 0.3896 0.3442 0.2011  1 Si 2.39
Si5 0.8896 0.2989 0.8442  1 Si 2.39
Si6 0.6104 0.7989 0.3442  1 Si 2.39
Si7 0.1104 0.1558 0.2989  1 Si 2.39
Si8 0.1104 0.8442 0.7011  1 Si 2.39
Sc1 0.8800 0.6116 0.8545  5 Si 2.70-2.80
Sc2 0.8800 0.3884 0.1455  5 Si 2.70-2.80
Sc3 0.3800 0.3545 0.8884  5 Si 2.70-2.80
Sc4 0.1200 0.8545 0.3884  5 Si 2.70-2.80
Sc5 0.1200 0.1455 0.6116  5 Si 2.70-2.80
Sc6 0.3800 0.6455 0.1116  5 Si 2.70-2.80
Sc7 0.6200 0.1116 0.3545  5 Si 2.70-2.80
Sc8 0.6200 0.8884 0.6455  5 Si 2.70-2.80
Tb1 0.5000 0.5000 0.5000  4 Si 3.01
Tb2 0.0000 0.0000 0.0000  4 Si 3.01


A plane-wave DFT calculation with PBE was carried out for a relaxed Tb5ScSi4 crystal.

Summary:
**Space group**: C2/m (12)
**Calculated volume**: 246 Å³/cell

a = 4.8398 Å, b = 6.7262 Å, c = 10.3719 Å
α = 130.03°, β = 103.49°, γ = 90.00°
With the nearest neighbours (Å) after each atom.
Fractional positions:
Tb1 0.8347 0.6764 0.6695  5 Si 2.87-3.04
Tb2 0.8361 0.1733 0.6722  5 Si 2.95-3.14
Tb3 0.1639 0.8267 0.3278  5 Si 2.95-3.14
Tb4 0.1653 0.3236 0.3305  5 Si 2.87-3.04
Tb5 0.5000 0.5000 0.0000  6 Si 3.01-3.15, 2 Sc 3.36
Sc1 0.5000 0.0000 0.0000  6 Si 2.89-3.12
Si1 0.6749 0.1002 0.3499  7 Tb 2.92-3.15, 1 Sc 3.12
Si2 0.0075 0.2490 0.0151  6 Tb 2.87-3.14, 2 Sc 2.89, 1 Si 3.16
Si3 0.9925 0.7510 0.9849  6 Tb 2.87-3.14, 2 Sc 2.89, 1 Si 3.16
Si4 0.3251 0.8998 0.6501  7 Tb 2.92-3.15, 1 Sc 3.12


For each record above, in turn, the calculated ΔE_f (raw) values are -834, -305, 2, -572, -609, -796, 88, -425, -517, -520 meV/atom.